# KInMoO5 GGA+U relaxed
# total magnetic moment: 0.000 μB per atom
# calculated total energy: -98.152 eV for the cell shown
# V: 16.7 A^3/atom
# D(E_F): 0.00 states/eV/cell
data_KInMoO5
_cell_length_a 6.343
_cell_length_b 6.343
_cell_length_c 7.540
_cell_angle_alpha 102.96
_cell_angle_beta 102.96
_cell_angle_gamma 107.33
_symmetry_space_group_name_H-M 'P 1'
_symmetry_Int_Tables_number 1
_symmetry_space_group_name_Hall 'P 1'
loop_
_atom_site_label
_atom_site_fract_x
_atom_site_fract_y
_atom_site_fract_z
K1 0.173 0.827 0.750
K2 0.827 0.173 0.250
In1 0.500 0.500 0.000
In2 0.500 0.500 0.500
Mo1 0.184 0.816 0.250
Mo2 0.816 0.184 0.750
O1 0.100 0.261 0.915
O2 0.188 0.610 0.381
O3 0.261 0.100 0.415
O4 0.390 0.812 0.119
O5 0.430 0.570 0.750
O6 0.570 0.430 0.250
O7 0.610 0.188 0.881
O8 0.739 0.900 0.585
O9 0.812 0.390 0.619
O10 0.900 0.739 0.085